1.
The following is a PBE-GGA calculation of an optimized crystal structure of LiSmTh2Te5, from Alexandria via LeMat-Bulk.

Geometry as POSCAR:
```
LiSmTh2Te5
1.0
4.322 0.000 0.000
-2.161 9.361 0.000
0.000 0.000 13.382
Li Sm Th Te
2 2 4 10
Direct
0.559 0.118 0.964 Li
0.441 0.882 0.464 Li
0.799 0.598 0.506 Sm
0.201 0.402 0.006 Sm
0.870 0.739 0.802 Th
0.107 0.214 0.681 Th
0.130 0.261 0.302 Th
0.893 0.786 0.181 Th
0.368 0.735 0.999 Te
0.688 0.375 0.839 Te
0.498 0.996 0.787 Te
0.283 0.566 0.671 Te
0.952 0.905 0.577 Te
0.632 0.265 0.499 Te
0.312 0.625 0.339 Te
0.502 0.004 0.287 Te
0.717 0.434 0.171 Te
0.048 0.095 0.077 Te
```

Results
**E**: -5.265 eV/atom

=====

2.
The following is a PBE-GGA calculation of an optimized crystal structure of Sr2ReTc, from Alexandria via LeMat-Bulk.

Geometry as POSCAR:
```
Sr2ReTc
1.0
-1.491 1.559 2.514
1.402 -2.106 2.138
9.045 3.752 3.040
Re Sr Tc
1 2 1
Direct
0.500 0.817 0.681 Re
0.000 0.063 0.928 Sr
0.500 0.186 0.322 Sr
0.000 0.433 0.569 Tc
```

Results
**ΔE to the lowest computed polymorph**: 0.170 eV per atom
**Energy of formation**: 0.4822 eV/atom

=====

3.
The following is a PBE-GGA calculation of an optimized crystal structure of TeO, from Alexandria via LeMat-Bulk.

Geometry as POSCAR:
```
TeO
1.0
-10.017 1.969 0.427
-0.846 -4.270 -0.151
0.211 -0.259 6.137
Te O
6 6
Direct
0.754 0.964 0.229 Te
0.746 0.036 0.729 Te
0.246 0.964 0.229 Te
0.254 0.036 0.729 Te
0.000 0.642 0.699 Te
0.500 0.358 0.199 Te
0.790 0.475 0.722 O
0.710 0.525 0.222 O
0.210 0.475 0.722 O
0.290 0.525 0.222 O
0.000 0.613 0.400 O
0.500 0.387 0.900 O
```

Results
**ΔE to the lowest computed polymorph**: 0.127 eV per atom

=====

4.
The following is a PBE-GGA calculation of an optimized crystal structure of HgTeRu2, from Alexandria via LeMat-Bulk.

Geometry as POSCAR:
```
HgTeRu2
1.0
-0.452 -5.130 1.382
2.698 -4.445 1.179
0.026 1.148 4.279
Hg Ru Te
1 2 1
Direct
0.238 0.238 0.125 Hg
0.970 0.970 0.125 Ru
0.785 0.785 0.625 Ru
0.507 0.507 0.625 Te
```

Results
**ΔE to the lowest computed polymorph**: 0.099 eV per atom

=====

5.
The following is a PBE-GGA calculation of an optimized crystal structure of KSc2Au, from Alexandria via LeMat-Bulk.

Geometry as POSCAR:
```
KSc2Au
1.0
6.733 0.050 0.042
5.916 3.214 0.042
2.405 0.621 5.176
Au K Sc
1 1 2
Direct
0.750 0.750 0.750 Au
0.250 0.250 0.250 K
0.050 0.050 0.950 Sc
0.450 0.450 0.550 Sc
```

Results
**ΔE to the lowest computed polymorph**: 0.150 eV per atom
**Energy of formation**: 0.0405 eV/atom

=====

6.
The following is a PBE-GGA calculation of an optimized crystal structure of KTa2Si, from Alexandria via LeMat-Bulk.

Geometry as POSCAR:
```
KTa2Si
1.0
-0.274 -1.614 -3.841
-3.295 -2.439 1.260
-2.731 3.114 -1.113
K Si Ta
1 1 2
Direct
0.500 0.500 0.000 K
0.500 0.000 0.500 Si
0.000 0.000 0.000 Ta
0.000 0.500 0.500 Ta
```

Results
**E**: -6.301 eV/atom